[1]
Below is a relaxed CaCd2Pt crystal, with properties calculated at the PBE-GGA level.

Calculated values
**Calculated volume**: 23.8 A^3/atom
**E_form**: -0.44 eV per atom
**Mass density**: 8.018 g cm⁻³

The structure in CIF format:
```
data_CaCd2Pt
_chemical_formula_sum 'Ca1 Cd2 Pt1'
_space_group_name_H-M_alt 'P 1 m 1'
_space_group_IT_number 6
_cell_length_a 4.103
_cell_length_b 3.958
_cell_length_c 6.204
_cell_angle_alpha 90.00
_cell_angle_beta 109.05
_cell_angle_gamma 90.00
loop_
_space_group_symop_operation_xyz
'x,y,z'
'x,-y,z'
loop_
_atom_site_label
_atom_site_fract_x
_atom_site_fract_y
_atom_site_fract_z
Ca1 0.000 0.000 0.000
Cd1 0.319 0.500 0.640
Cd2 0.725 0.000 0.449
Pt1 0.557 0.500 0.117
```

[2]
Below is a relaxed Sc2TeS2 crystal, with properties calculated at the PBE-GGA level.

Calculated values
**Distance to the lowest polymorph of the same formula**: 264 meV per atom
**Formation energy from raw total energies**: -7.0 eV/f.u.
**Calculated volume**: 19.7 A^3/atom
**Mass density**: 4.744 g cm⁻³

The structure in CIF format:
```
data_Sc2TeS2
_chemical_formula_sum 'Sc4 Te2 S4'
_space_group_name_H-M_alt 'P 4/m b m'
_space_group_IT_number 127
_space_group_name_Hall '-P 4 2ab'
_cell_length_a 7.670
_cell_length_b 7.670
_cell_length_c 3.352
_cell_angle_alpha 90.00
_cell_angle_beta 90.00
_cell_angle_gamma 90.00
loop_
_atom_site_label
_atom_site_fract_x
_atom_site_fract_y
_atom_site_fract_z
Sc1 0.149 0.351 0.000
Te1 0.000 0.000 0.000
S1 0.133 0.633 0.500
```

[3]
Below is a relaxed RbTlPb crystal, with properties calculated at the PBE-GGA level.

Calculated values
**Calculated volume**: 40.3 A^3/atom
**E_form**: -0.09 eV per atom
**Mass density**: 6.825 g cm⁻³

The structure in CIF format:
```
data_RbTlPb
_chemical_formula_sum 'Rb2 Tl2 Pb2'
_space_group_name_H-M_alt 'P 1 m 1'
_space_group_IT_number 6
_cell_length_a 7.140
_cell_length_b 3.845
_cell_length_c 9.502
_cell_angle_alpha 90.00
_cell_angle_beta 112.01
_cell_angle_gamma 90.00
loop_
_space_group_symop_operation_xyz
'x,y,z'
'x,-y,z'
loop_
_atom_site_label
_atom_site_fract_x
_atom_site_fract_y
_atom_site_fract_z
Rb1 0.000 0.000 0.000
Rb2 0.318 0.000 0.638
Tl1 0.512 0.500 0.020
Tl2 0.809 0.500 0.618
Pb1 0.407 0.500 0.319
Pb2 0.776 0.000 0.320
```